(1)
# PBE-GGA NdMgPt2, relaxed
# * DFT formation energy: -0.948 eV per atom
# * mass density: 11.03 Mg/m³
# * total moment: 0.0 μB per formula unit
data_NdMgPt2
_chemical_formula_sum 'Nd4 Mg4 Pt8'
_cell_length_a 6.806
_cell_length_b 6.906
_cell_length_c 7.161
_cell_angle_alpha 90.00
_cell_angle_beta 90.00
_cell_angle_gamma 90.00
_space_group_name_H-M_alt 'P 1'
_space_group_IT_number 1
loop_
_space_group_symop_operation_xyz
'x,y,z'
loop_
_atom_site_label
_atom_site_fract_x
_atom_site_fract_y
_atom_site_fract_z
Nd1 0.317 0.250 0.016
Nd2 0.817 0.750 0.484
Nd3 0.683 0.750 0.984
Nd4 0.183 0.250 0.516
Mg1 0.683 0.250 0.390
Mg2 0.183 0.750 0.110
Mg3 0.317 0.750 0.610
Mg4 0.817 0.250 0.890
Pt1 0.951 0.046 0.196
Pt2 0.451 0.954 0.304
Pt3 0.049 0.546 0.804
Pt4 0.549 0.454 0.696
Pt5 0.049 0.954 0.804
Pt6 0.549 0.046 0.696
Pt7 0.951 0.454 0.196
Pt8 0.451 0.546 0.304

---

(2)
# PBE-GGA Ba3GaAg3, relaxed
# * offset from the most stable computed form: 1.11 eV/f.u.
# * DFT formation energy: -0.121 eV per atom
# * mass density: 4.74 Mg/m³
# * total moment: 0.0 μB per formula unit
data_Ba3GaAg3
_chemical_formula_sum 'Ba6 Ga2 Ag6'
_cell_length_a 6.789
_cell_length_b 9.798
_cell_length_c 9.798
_cell_angle_alpha 120.00
_cell_angle_beta 90.00
_cell_angle_gamma 90.00
_space_group_name_H-M_alt 'P 1'
_space_group_IT_number 1
loop_
_space_group_symop_operation_xyz
'x,y,z'
loop_
_atom_site_label
_atom_site_fract_x
_atom_site_fract_y
_atom_site_fract_z
Ba1 0.750 0.701 0.634
Ba2 0.750 0.366 0.067
Ba3 0.750 0.933 0.299
Ba4 0.250 0.299 0.366
Ba5 0.250 0.634 0.933
Ba6 0.250 0.067 0.701
Ga1 0.250 0.667 0.333
Ga2 0.750 0.333 0.667
Ag1 0.250 0.689 0.612
Ag2 0.250 0.388 0.077
Ag3 0.250 0.923 0.311
Ag4 0.750 0.311 0.388
Ag5 0.750 0.612 0.923
Ag6 0.750 0.077 0.689

---

(3)
# PBE-GGA Y6Mg2NO, relaxed
# * raw total energy: -6.503 eV per atom
# * mass density: 4.40 Mg/m³
# * total moment: 0.0 μB per formula unit
data_Y6Mg2NO
_chemical_formula_sum 'Y6 Mg2 N1 O1'
_cell_length_a 6.889
_cell_length_b 6.889
_cell_length_c 6.890
_cell_angle_alpha 60.00
_cell_angle_beta 60.00
_cell_angle_gamma 90.00
_space_group_name_H-M_alt 'P 1'
_space_group_IT_number 1
loop_
_space_group_symop_operation_xyz
'x,y,z'
loop_
_atom_site_label
_atom_site_fract_x
_atom_site_fract_y
_atom_site_fract_z
Y1 0.252 0.252 0.495
Y2 0.748 0.748 0.000
Y3 0.252 0.748 0.000
Y4 0.748 0.252 0.000
Y5 0.252 0.252 0.000
Y6 0.748 0.748 0.505
Mg1 0.750 0.250 0.500
Mg2 0.250 0.750 0.500
N1 0.500 0.500 0.000
O1 0.000 0.000 0.000

---

(4)
# PBE-GGA Ba2ScTi, relaxed
# * offset from the most stable computed form: 0.50 eV/f.u.
# * DFT formation energy: 0.892 eV per atom
# * mass density: 4.15 Mg/m³
# * total moment: 3.0 μB per formula unit
data_Ba2ScTi
_chemical_formula_sum 'Ba4 Sc2 Ti2'
_cell_length_a 9.346
_cell_length_b 9.346
_cell_length_c 7.417
_cell_angle_alpha 50.95
_cell_angle_beta 50.95
_cell_angle_gamma 90.00
_space_group_name_H-M_alt 'P 1'
_space_group_IT_number 1
loop_
_space_group_symop_operation_xyz
'x,y,z'
loop_
_atom_site_label
_atom_site_fract_x
_atom_site_fract_y
_atom_site_fract_z
Sc1 0.500 0.500 0.000
Sc2 0.250 0.750 0.500
Ba1 0.638 0.125 0.250
Ba2 0.112 0.625 0.250
Ba3 0.375 0.362 0.750
Ba4 0.875 0.888 0.750
Ti1 0.000 0.000 0.000
Ti2 0.750 0.250 0.500

---

(5)
# PBE-GGA Tm2CoSi3Pt4, relaxed
# * raw total energy: -6.587 eV per atom
# * mass density: 12.27 Mg/m³
# * total moment: 1.8 μB per formula unit
data_Tm2CoSi3Pt4
_chemical_formula_sum 'Tm2 Co1 Si3 Pt4'
_cell_length_a 4.117
_cell_length_b 4.117
_cell_length_c 10.067
_cell_angle_alpha 90.00
_cell_angle_beta 90.00
_cell_angle_gamma 90.00
_space_group_name_H-M_alt 'P 1'
_space_group_IT_number 1
loop_
_space_group_symop_operation_xyz
'x,y,z'
loop_
_atom_site_label
_atom_site_fract_x
_atom_site_fract_y
_atom_site_fract_z
Tm1 0.500 0.000 0.257
Tm2 0.000 0.500 0.743
Co1 0.500 0.500 0.500
Si1 0.000 0.000 0.500
Si2 0.500 0.000 0.865
Si3 0.000 0.500 0.135
Pt1 0.500 0.500 0.000
Pt2 0.000 0.000 0.000
Pt3 0.500 0.000 0.634
Pt4 0.000 0.500 0.366

---

(6)
# PBE-GGA CrBiBr6, relaxed
# * raw total energy: -3.595 eV per atom
# * mass density: 5.06 Mg/m³
# * total moment: 3.0 μB per formula unit
data_CrBiBr6
_chemical_formula_sum 'Cr1 Bi1 Br6'
_cell_length_a 6.769
_cell_length_b 6.769
_cell_length_c 7.267
_cell_angle_alpha 62.24
_cell_angle_beta 62.24
_cell_angle_gamma 60.00
_space_group_name_H-M_alt 'P 1'
_space_group_IT_number 1
loop_
_space_group_symop_operation_xyz
'x,y,z'
loop_
_atom_site_label
_atom_site_fract_x
_atom_site_fract_y
_atom_site_fract_z
Cr1 0.000 0.000 0.000
Bi1 0.500 0.500 0.500
Br1 0.063 0.394 0.766
Br2 0.777 0.063 0.766
Br3 0.606 0.223 0.234
Br4 0.223 0.937 0.234
Br5 0.937 0.606 0.234
Br6 0.394 0.777 0.766

---

(7)
# PBE-GGA ZnS2F, relaxed
# * offset from the most stable computed form: 1.63 eV/f.u.
# * mass density: 4.43 Mg/m³
# * total moment: 0.0 μB per formula unit
data_ZnS2F
_chemical_formula_sum 'Zn1 S2 F1'
_cell_length_a 4.287
_cell_length_b 4.287
_cell_length_c 4.287
_cell_angle_alpha 60.00
_cell_angle_beta 60.00
_cell_angle_gamma 60.00
_space_group_name_H-M_alt 'P 1'
_space_group_IT_number 1
loop_
_space_group_symop_operation_xyz
'x,y,z'
loop_
_atom_site_label
_atom_site_fract_x
_atom_site_fract_y
_atom_site_fract_z
Zn1 0.500 0.500 0.500
S1 0.250 0.250 0.250
S2 0.750 0.750 0.750
F1 0.000 0.000 0.000

---

(8)
# PBE-GGA SrEr4In5, relaxed
# * DFT formation energy: -0.434 eV per atom
# * mass density: 8.06 Mg/m³
# * total moment: 0.0 μB per formula unit
data_SrEr4In5
_chemical_formula_sum 'Sr1 Er4 In5'
_cell_length_a 3.783
_cell_length_b 3.783
_cell_length_c 19.156
_cell_angle_alpha 90.00
_cell_angle_beta 90.00
_cell_angle_gamma 90.00
_space_group_name_H-M_alt 'P 1'
_space_group_IT_number 1
loop_
_space_group_symop_operation_xyz
'x,y,z'
loop_
_atom_site_label
_atom_site_fract_x
_atom_site_fract_y
_atom_site_fract_z
Sr1 0.000 0.000 0.000
Er1 0.000 0.000 0.212
Er2 0.000 0.000 0.405
Er3 0.000 0.000 0.595
Er4 0.000 0.000 0.788
In1 0.500 0.500 0.118
In2 0.500 0.500 0.309
In3 0.500 0.500 0.500
In4 0.500 0.500 0.691
In5 0.500 0.500 0.882

---

(9)
# PBE-GGA Sr2ZnSi3Pt4, relaxed
# * raw total energy: -5.392 eV per atom
# * mass density: 9.66 Mg/m³
# * total moment: 0.0 μB per formula unit
data_Sr2ZnSi3Pt4
_chemical_formula_sum 'Sr2 Zn1 Si3 Pt4'
_cell_length_a 4.386
_cell_length_b 4.386
_cell_length_c 9.872
_cell_angle_alpha 90.00
_cell_angle_beta 90.00
_cell_angle_gamma 90.00
_space_group_name_H-M_alt 'P 1'
_space_group_IT_number 1
loop_
_space_group_symop_operation_xyz
'x,y,z'
loop_
_atom_site_label
_atom_site_fract_x
_atom_site_fract_y
_atom_site_fract_z
Sr1 0.500 0.000 0.254
Sr2 0.000 0.500 0.746
Zn1 0.500 0.500 0.500
Si1 0.000 0.000 0.500
Si2 0.500 0.000 0.878
Si3 0.000 0.500 0.122
Pt1 0.500 0.500 0.000
Pt2 0.000 0.000 0.000
Pt3 0.500 0.000 0.632
Pt4 0.000 0.500 0.368

---

(10)
# PBE-GGA Sc2AlOsC, relaxed
# * DFT formation energy: -0.481 eV per atom
# * mass density: 6.59 Mg/m³
# * total moment: 0.0 μB per formula unit
data_Sc2AlOsC
_chemical_formula_sum 'Sc2 Al1 Os1 C1'
_cell_length_a 4.523
_cell_length_b 4.523
_cell_length_c 3.929
_cell_angle_alpha 90.00
_cell_angle_beta 90.00
_cell_angle_gamma 90.00
_space_group_name_H-M_alt 'P 1'
_space_group_IT_number 1
loop_
_space_group_symop_operation_xyz
'x,y,z'
loop_
_atom_site_label
_atom_site_fract_x
_atom_site_fract_y
_atom_site_fract_z
Sc1 0.000 0.500 0.000
Sc2 0.500 0.000 0.000
C1 0.000 0.000 0.000
Os1 0.000 0.000 0.500
Al1 0.500 0.500 0.500

---

(11)
# PBE-GGA CeTlInSe3, relaxed
# * raw total energy: -4.494 eV per atom
# * mass density: 5.75 Mg/m³
# * total moment: 0.3 μB per formula unit
data_CeTlInSe3
_chemical_formula_sum 'Ce2 Tl2 In2 Se6'
_cell_length_a 4.159
_cell_length_b 9.041
_cell_length_c 11.300
_cell_angle_alpha 108.88
_cell_angle_beta 90.00
_cell_angle_gamma 90.00
_space_group_name_H-M_alt 'P 1'
_space_group_IT_number 1
loop_
_space_group_symop_operation_xyz
'x,y,z'
loop_
_atom_site_label
_atom_site_fract_x
_atom_site_fract_y
_atom_site_fract_z
Ce1 0.250 0.692 0.132
Ce2 0.750 0.308 0.868
Tl1 0.250 0.199 0.198
Tl2 0.750 0.801 0.802
In1 0.250 0.149 0.615
In2 0.750 0.851 0.385
Se1 0.750 0.892 0.095
Se2 0.250 0.108 0.905
Se3 0.250 0.821 0.532
Se4 0.750 0.179 0.468
Se5 0.750 0.465 0.135
Se6 0.250 0.535 0.865

---

(12)
# PBE-GGA Tm4CdAg2Au, relaxed
# * DFT formation energy: -0.471 eV per atom
# * mass density: 10.65 Mg/m³
# * total moment: 0.0 μB per formula unit
data_Tm4CdAg2Au
_chemical_formula_sum 'Tm4 Cd1 Ag2 Au1'
_cell_length_a 5.099
_cell_length_b 5.099
_cell_length_c 8.821
_cell_angle_alpha 73.20
_cell_angle_beta 73.20
_cell_angle_gamma 60.00
_space_group_name_H-M_alt 'P 1'
_space_group_IT_number 1
loop_
_space_group_symop_operation_xyz
'x,y,z'
loop_
_atom_site_label
_atom_site_fract_x
_atom_site_fract_y
_atom_site_fract_z
Tm1 0.379 0.379 0.862
Tm2 0.871 0.871 0.386
Tm3 0.129 0.129 0.614
Tm4 0.621 0.621 0.138
Cd1 0.000 0.000 0.000
Ag1 0.744 0.744 0.768
Ag2 0.256 0.256 0.232
Au1 0.500 0.500 0.500

---

(13)
# PBE-GGA GdHoLuAg, relaxed
# * DFT formation energy: 0.038 eV per atom
# * mass density: 9.32 Mg/m³
# * total moment: 7.3 μB per formula unit
data_GdHoLuAg
_chemical_formula_sum 'Gd1 Ho1 Lu1 Ag1'
_cell_length_a 5.341
_cell_length_b 5.341
_cell_length_c 5.341
_cell_angle_alpha 60.00
_cell_angle_beta 60.00
_cell_angle_gamma 60.00
_space_group_name_H-M_alt 'P 1'
_space_group_IT_number 1
loop_
_space_group_symop_operation_xyz
'x,y,z'
loop_
_atom_site_label
_atom_site_fract_x
_atom_site_fract_y
_atom_site_fract_z
Gd1 0.500 0.500 0.500
Lu1 0.750 0.750 0.750
Ho1 0.000 0.000 0.000
Ag1 0.250 0.250 0.250

---

(14)
# PBE-GGA ZrHgS2, relaxed
# * raw total energy: -5.398 eV per atom
# * mass density: 5.15 Mg/m³
# * total moment: 0.0 μB per formula unit
data_ZrHgS2
_chemical_formula_sum 'Zr4 Hg4 S8'
_cell_length_a 20.651
_cell_length_b 3.675
_cell_length_c 6.367
_cell_angle_alpha 90.00
_cell_angle_beta 108.09
_cell_angle_gamma 90.00
_space_group_name_H-M_alt 'P 1'
_space_group_IT_number 1
loop_
_space_group_symop_operation_xyz
'x,y,z'
loop_
_atom_site_label
_atom_site_fract_x
_atom_site_fract_y
_atom_site_fract_z
S1 0.925 0.750 0.842
S2 0.075 0.250 0.158
S3 0.575 0.250 0.658
S4 0.425 0.750 0.342
S5 0.075 0.750 0.658
S6 0.925 0.250 0.342
S7 0.425 0.250 0.842
S8 0.575 0.750 0.158
Hg1 0.250 0.226 0.001
Hg2 0.750 0.774 0.999
Hg3 0.250 0.726 0.499
Hg4 0.750 0.274 0.501
Zr1 0.500 0.250 0.250
Zr2 0.500 0.750 0.750
Zr3 0.000 0.750 0.250
Zr4 0.000 0.250 0.750

---

(15)
# PBE-GGA TePI2O, relaxed
# * offset from the most stable computed form: 0.00 eV/f.u.
# * mass density: 5.72 Mg/m³
# * total moment: 0.0 μB per formula unit
data_TePI2O
_chemical_formula_sum 'Te1 P1 I2 O1'
_cell_length_a 5.917
_cell_length_b 5.917
_cell_length_c 3.554
_cell_angle_alpha 90.00
_cell_angle_beta 90.00
_cell_angle_gamma 90.00
_space_group_name_H-M_alt 'P 1'
_space_group_IT_number 1
loop_
_space_group_symop_operation_xyz
'x,y,z'
loop_
_atom_site_label
_atom_site_fract_x
_atom_site_fract_y
_atom_site_fract_z
I1 0.000 0.500 0.000
I2 0.500 0.000 0.000
P1 0.000 0.000 0.000
Te1 0.500 0.500 0.500
O1 0.000 0.000 0.500

---

(16)
# PBE-GGA Te2PtPb, relaxed
# * raw total energy: -4.160 eV per atom
# * mass density: 9.92 Mg/m³
# * total moment: 0.0 μB per formula unit
data_Te2PtPb
_chemical_formula_sum 'Te2 Pt1 Pb1'
_cell_length_a 7.623
_cell_length_b 7.623
_cell_length_c 7.623
_cell_angle_alpha 31.93
_cell_angle_beta 31.93
_cell_angle_gamma 31.93
_space_group_name_H-M_alt 'P 1'
_space_group_IT_number 1
loop_
_space_group_symop_operation_xyz
'x,y,z'
loop_
_atom_site_label
_atom_site_fract_x
_atom_site_fract_y
_atom_site_fract_z
Pb1 0.488 0.488 0.488
Pt1 0.742 0.742 0.742
Te1 0.022 0.022 0.022
Te2 0.248 0.248 0.248

---

(17)
# PBE-GGA Tb6Nd12Sm, relaxed
# * offset from the most stable computed form: 1.88 eV/f.u.
# * DFT formation energy: 0.230 eV per atom
# * mass density: 6.97 Mg/m³
# * total moment: 0.0 μB per formula unit
data_Tb6Nd12Sm
_chemical_formula_sum 'Tb6 Nd12 Sm1'
_cell_length_a 9.298
_cell_length_b 9.298
_cell_length_c 9.298
_cell_angle_alpha 106.68
_cell_angle_beta 106.68
_cell_angle_gamma 106.68
_space_group_name_H-M_alt 'P 1'
_space_group_IT_number 1
loop_
_space_group_symop_operation_xyz
'x,y,z'
loop_
_atom_site_label
_atom_site_fract_x
_atom_site_fract_y
_atom_site_fract_z
Tb1 0.077 0.191 0.456
Tb2 0.809 0.544 0.923
Tb3 0.544 0.923 0.809
Tb4 0.923 0.809 0.544
Tb5 0.191 0.456 0.077
Tb6 0.456 0.077 0.191
Nd1 0.482 0.193 0.579
Nd2 0.193 0.579 0.482
Nd3 0.579 0.482 0.193
Nd4 0.518 0.807 0.421
Nd5 0.807 0.421 0.518
Nd6 0.421 0.518 0.807
Nd7 0.279 0.134 0.826
Nd8 0.174 0.721 0.866
Nd9 0.866 0.174 0.721
Nd10 0.721 0.866 0.174
Nd11 0.826 0.279 0.134
Nd12 0.134 0.826 0.279
Sm1 0.000 0.000 0.000

---

(18)
# PBE-GGA BaBiP3, relaxed
# * offset from the most stable computed form: 5.15 eV/f.u.
# * DFT formation energy: 1.367 eV per atom
# * mass density: 4.32 Mg/m³
# * total moment: 0.0 μB per formula unit
data_BaBiP3
_chemical_formula_sum 'Ba1 Bi1 P3'
_cell_length_a 5.528
_cell_length_b 5.528
_cell_length_c 5.528
_cell_angle_alpha 90.00
_cell_angle_beta 90.00
_cell_angle_gamma 90.00
_space_group_name_H-M_alt 'P 1'
_space_group_IT_number 1
loop_
_space_group_symop_operation_xyz
'x,y,z'
loop_
_atom_site_label
_atom_site_fract_x
_atom_site_fract_y
_atom_site_fract_z
P1 0.000 0.500 0.000
P2 0.000 0.000 0.500
P3 0.500 0.000 0.000
Bi1 0.500 0.500 0.500
Ba1 0.000 0.000 0.000

---

(19)
# PBE-GGA K2HgS, relaxed
# * offset from the most stable computed form: 0.00 eV/f.u.
# * mass density: 3.23 Mg/m³
# * total moment: 0.0 μB per formula unit
data_K2HgS
_chemical_formula_sum 'K2 Hg1 S1'
_cell_length_a 5.059
_cell_length_b 5.059
_cell_length_c 7.781
_cell_angle_alpha 71.03
_cell_angle_beta 71.03
_cell_angle_gamma 60.00
_space_group_name_H-M_alt 'P 1'
_space_group_IT_number 1
loop_
_space_group_symop_operation_xyz
'x,y,z'
loop_
_atom_site_label
_atom_site_fract_x
_atom_site_fract_y
_atom_site_fract_z
K1 0.054 0.054 0.837
K2 0.276 0.276 0.171
Hg1 0.516 0.516 0.451
S1 0.653 0.653 0.041

---

(20)
# PBE-GGA KPb3, relaxed
# * DFT formation energy: -0.020 eV per atom
# * mass density: 8.33 Mg/m³
# * total moment: 0.0 μB per formula unit
data_KPb3
_chemical_formula_sum 'K1 Pb3'
_cell_length_a 5.711
_cell_length_b 5.711
_cell_length_c 5.711
_cell_angle_alpha 60.00
_cell_angle_beta 60.00
_cell_angle_gamma 60.00
_space_group_name_H-M_alt 'P 1'
_space_group_IT_number 1
loop_
_space_group_symop_operation_xyz
'x,y,z'
loop_
_atom_site_label
_atom_site_fract_x
_atom_site_fract_y
_atom_site_fract_z
K1 0.000 0.000 0.000
Pb1 0.250 0.250 0.250
Pb2 0.500 0.500 0.500
Pb3 0.750 0.750 0.750